VASP calculation (GGA-PBE) on crystalline AgTe2PI at its relaxed geometry.

The space group is P4/mmm (No. 123) and the conventional cell measures 5.4989, 5.4989 and 5.4543 Å, with angles of 90.00, 90.00 and 90.00 degrees. The inequivalent atoms are Ag at (0.0000, 0.0000, 0.0000), Te at (0.0000, 0.5000, 0.0000), P at (0.5000, 0.5000, 0.5000) and I at (0.0000, 0.0000, 0.5000).

As for the calculated volume: 32.99 A^3/atom. As for the raw total energy: -2.273 eV per atom. For the uncorrected formation energy, the calculation gives 0.946 eV per atom. For the energy above the most stable polymorph in this dataset, the calculation gives 401 meV/atom. The theoretical density is 5.245 g/cm3.

***

VASP calculation (GGA-PBE) on crystalline Be2Ag2Sn at its relaxed geometry.

The space group is I4/mmm (No. 139) and the conventional cell measures 3.1957, 3.1957 and 15.9984 Å, with angles of 90.00, 90.00 and 90.00 degrees. The inequivalent atoms are Be at (0.0000, 0.5000, 0.2500), Ag at (0.0000, 0.0000, 0.1340) and Sn at (0.0000, 0.0000, 0.5000).

As for the calculated volume: 16.34 A^3/atom. As for the raw total energy: -3.209 eV per atom. For the energy above the most stable polymorph in this dataset, the calculation gives 0 meV/atom. The calculation puts the formation energy from the elements at 223 meV per atom. The theoretical density is 7.165 g/cm3.

***

VASP calculation (GGA-PBE) on crystalline Na2CoCuH6 at its relaxed geometry.

The space group is P-3m1 (No. 164) and the conventional cell measures 5.0422, 5.0422 and 4.6933 Å, with angles of 90.00, 90.00 and 120.00 degrees. The inequivalent atoms are Na at (0.3333, 0.6667, 0.1868), Co at (0.0000, 0.0000, 0.0000), Cu at (0.0000, 0.0000, 0.5000) and H at (0.1428, 0.2855, 0.7970).

As for the calculated volume: 10.33 A^3/atom. As for the raw total energy: -3.571 eV per atom. The theoretical density is 2.804 g/cm3.

***

VASP calculation (GGA-PBE) on crystalline CsLi2UI6 at its relaxed geometry.

The space group is C2/c (No. 15) and the conventional cell measures 15.8701, 14.9171 and 9.2452 Å, with angles of 90.00, 113.24 and 90.00 degrees. The inequivalent atoms are Cs at (0.0000, 0.0881, 0.2500), Li at (0.1937, 0.4304, 0.1008), U at (0.0000, 0.2832, 0.7500), I at (0.0868, 0.2910, 0.1142), I at (0.1256, 0.1252, 0.7124) and I at (0.1535, 0.4275, 0.7769).

As for the calculated volume: 50.28 A^3/atom. As for the raw total energy: -3.619 eV per atom. For the uncorrected formation energy, the calculation gives -1.092 eV per atom. The theoretical density is 3.786 g/cm3.

***

VASP calculation (GGA-PBE) on crystalline KLiReSe2 at its relaxed geometry.

The space group is P4/mmm (No. 123) and the conventional cell measures 5.6169, 5.6169 and 4.3824 Å, with angles of 90.00, 90.00 and 90.00 degrees. The inequivalent atoms are K at (0.0000, 0.0000, 0.0000), Li at (0.0000, 0.0000, 0.5000), Re at (0.5000, 0.5000, 0.5000) and Se at (0.0000, 0.5000, 0.0000).

As for the calculated volume: 27.65 A^3/atom. As for the raw total energy: -3.090 eV per atom. For the uncorrected formation energy, the calculation gives 1.395 eV per atom. For the energy above the most stable polymorph in this dataset, the calculation gives 0 meV/atom. The theoretical density is 4.686 g/cm3.

***

VASP calculation (GGA-PBE) on crystalline HgPSe3 at its relaxed geometry.

The space group is P-1 (No. 2) and the conventional cell measures 6.6831, 6.6834 and 8.6915 Å, with angles of 67.46, 89.99 and 60.00 degrees. The inequivalent atoms are Hg at (0.1510, 0.1979, 0.4532), P at (0.4090, 0.6822, 0.2260), Se at (0.0809, 0.6934, 0.2677), Se at (0.2742, 0.6875, 0.7322) and Se at (0.4620, 0.9572, 0.2679).

As for the calculated volume: 30.15 A^3/atom. As for the raw total energy: -3.202 eV per atom. For the uncorrected formation energy, the calculation gives 0.031 eV per atom. The theoretical density is 5.160 g/cm3.

***

VASP calculation (GGA-PBE) on crystalline Li3TbPr2Se6 at its relaxed geometry.

The space group is C2/m (No. 12) and the conventional cell measures 7.2584, 12.5767 and 6.9601 Å, with angles of 90.00, 110.29 and 90.00 degrees. The inequivalent atoms are Li at (0.0000, 0.0000, 0.0000), Li at (0.0000, 0.3375, 0.0000), Tb at (0.0000, 0.5000, 0.5000), Pr at (0.0000, 0.1670, 0.5000), Se at (0.2391, 0.5000, 0.2430) and Se at (0.2484, 0.3379, 0.7592).

As for the calculated volume: 24.83 A^3/atom. As for the raw total energy: -5.068 eV per atom. For the uncorrected formation energy, the calculation gives -1.665 eV per atom. The theoretical density is 5.212 g/cm3.

***

VASP calculation (GGA-PBE) on crystalline PmNiPb at its relaxed geometry.

The space group is I4mm (No. 107) and the conventional cell measures 3.4415, 3.4415 and 11.6288 Å, with angles of 90.00, 90.00 and 90.00 degrees. The inequivalent atoms are Pm at (0.0000, 0.0000, 0.0000), Ni at (0.0000, 0.0000, 0.3520) and Pb at (0.0000, 0.0000, 0.7179).

As for the calculated volume: 22.96 A^3/atom. As for the raw total energy: -4.925 eV per atom. For the energy above the most stable polymorph in this dataset, the calculation gives 209 meV/atom. The calculation puts the formation energy from the elements at -178 meV per atom. The theoretical density is 9.908 g/cm3.

***

VASP calculation (GGA-PBE) on crystalline La2CdN at its relaxed geometry.

The space group is Amm2 (No. 38) and the conventional cell measures 8.8434, 3.6203 and 6.2630 Å, with angles of 90.00, 90.00 and 90.00 degrees. The inequivalent atoms are La at (0.1769, 0.0000, 0.0000), Cd at (0.5000, 0.0000, 0.3346) and N at (0.0000, 0.0000, 0.6669).

As for the calculated volume: 25.06 A^3/atom. As for the raw total energy: -5.268 eV per atom. For the uncorrected formation energy, the calculation gives -0.494 eV per atom. For the energy above the most stable polymorph in this dataset, the calculation gives 351 meV/atom. The theoretical density is 6.695 g/cm3.

***

VASP calculation (GGA-PBE) on crystalline CoGeTe4 at its relaxed geometry.

The space group is I4_1md (No. 109) and the conventional cell measures 9.0332, 9.0332 and 8.0274 Å, with angles of 90.00, 90.00 and 90.00 degrees. The inequivalent atoms are Co at (0.0000, 0.0000, 0.0000), Ge at (0.0000, 0.0000, 0.5025), Te at (0.0000, 0.3015, 0.0167) and Te at (0.0000, 0.3138, 0.4775).

As for the calculated volume: 27.29 A^3/atom. As for the raw total energy: -3.926 eV per atom. For the uncorrected formation energy, the calculation gives 0.123 eV per atom. The theoretical density is 6.510 g/cm3.

***

VASP calculation (GGA-PBE) on crystalline Pa2AsS at its relaxed geometry.

The space group is R3m (No. 160, hexagonal axes) and the conventional cell measures 3.7527, 3.7527 and 22.3768 Å, with angles of 90.00, 90.00 and 120.00 degrees. The inequivalent atoms are Pa at (0.0000, 0.0000, 0.0000), Pa at (0.0000, 0.0000, 0.1661), As at (0.0000, 0.0000, 0.5827) and S at (0.0000, 0.0000, 0.7502).

As for the calculated volume: 22.74 A^3/atom. As for the raw total energy: -8.090 eV per atom. For the uncorrected formation energy, the calculation gives -1.148 eV per atom. For the energy above the most stable polymorph in this dataset, the calculation gives 191 meV/atom. The theoretical density is 10.387 g/cm3.

***

VASP calculation (GGA-PBE) on crystalline ZrBiPd at its relaxed geometry.

The space group is P3m1 (No. 156) and the conventional cell measures 4.5603, 4.5603 and 3.6375 Å, with angles of 90.00, 90.00 and 120.00 degrees. The inequivalent atoms are Zr at (0.0000, 0.0000, 0.0000), Bi at (0.6667, 0.3333, 0.5580) and Pd at (0.3333, 0.6667, 0.3313).

As for the calculated volume: 21.84 A^3/atom. As for the raw total energy: -6.226 eV per atom. The calculation puts the formation energy from the elements at -352 meV per atom. The theoretical density is 10.307 g/cm3.

***

VASP calculation (GGA-PBE) on crystalline ZnSbCl2 at its relaxed geometry.

The space group is Pmmm (No. 47) and the conventional cell measures 3.3489, 4.5651 and 5.7899 Å, with angles of 90.00, 90.00 and 90.00 degrees. The inequivalent atoms are Zn at (0.0000, 0.0000, 0.0000), Sb at (0.5000, 0.0000, 0.5000), Cl at (0.0000, 0.5000, 0.5000) and Cl at (0.5000, 0.5000, 0.0000).

As for the calculated volume: 22.13 A^3/atom. As for the raw total energy: -2.427 eV per atom. For the uncorrected formation energy, the calculation gives -0.154 eV per atom. For the energy above the most stable polymorph in this dataset, the calculation gives 394 meV/atom. The theoretical density is 4.841 g/cm3.

***

VASP calculation (GGA-PBE) on crystalline LiSc2Cu6 at its relaxed geometry.

The space group is P-3m1 (No. 164) and the conventional cell measures 5.3113, 5.3113 and 5.4101 Å, with angles of 90.00, 90.00 and 120.00 degrees. The inequivalent atoms are Li at (0.0000, 0.0000, 0.0000), Sc at (0.3333, 0.6667, 0.8530) and Cu at (0.1774, 0.3548, 0.3298).

As for the calculated volume: 14.69 A^3/atom. As for the raw total energy: -4.451 eV per atom. The calculation puts the formation energy from the elements at -100 meV per atom. The theoretical density is 6.007 g/cm3.

***

VASP calculation (GGA-PBE) on crystalline Sr2MnZn at its relaxed geometry.

The space group is Imm2 (No. 44) and the conventional cell measures 3.9573, 5.3536 and 11.4077 Å, with angles of 90.00, 90.00 and 90.00 degrees. The inequivalent atoms are Sr at (0.0000, 0.0000, 0.0000), Sr at (0.0000, 0.5000, 0.2119), Mn at (0.0000, 0.0000, 0.4169) and Zn at (0.0000, 0.5000, 0.7689).

As for the calculated volume: 30.21 A^3/atom. As for the raw total energy: -3.225 eV per atom. The calculation puts the formation energy from the elements at 227 meV per atom. The theoretical density is 4.062 g/cm3.

***

VASP calculation (GGA-PBE) on crystalline V3Re2W6 at its relaxed geometry.

The space group is C2/m (No. 12) and the conventional cell measures 28.0642, 4.3943 and 2.7248 Å, with angles of 90.00, 93.78 and 90.00 degrees. The inequivalent atoms are V at (0.0000, 0.0000, 0.0000), V at (0.1810, 0.0000, 0.4548), Re at (0.0442, 0.5000, 0.3582), W at (0.0898, 0.0000, 0.7273), W at (0.1368, 0.5000, 0.0946) and W at (0.2274, 0.5000, 0.8169).

As for the calculated volume: 15.24 A^3/atom. As for the raw total energy: -11.918 eV per atom. The calculation puts the formation energy from the elements at -102 meV per atom. The theoretical density is 16.128 g/cm3.

***

VASP calculation (GGA-PBE) on crystalline LaCeEuMg at its relaxed geometry.

The space group is F-43m (No. 216) and the conventional cell measures 8.0667, 8.0667 and 8.0667 Å, with angles of 90.00, 90.00 and 90.00 degrees. The inequivalent atoms are La at (0.0000, 0.0000, 0.0000), Ce at (0.2500, 0.2500, 0.7500), Eu at (0.0000, 0.0000, 0.5000) and Mg at (0.2500, 0.2500, 0.2500).

As for the calculated volume: 32.81 A^3/atom. As for the raw total energy: -5.490 eV per atom. The calculation puts the formation energy from the elements at 193 meV per atom. The theoretical density is 5.761 g/cm3.